A plane-wave DFT calculation with PBE was carried out for a geometry-optimized Ba6P2IrI3 structure.

Values from the calculation:
crystal system = monoclinic
SG = C2/m
ΔE_f (raw) = -1220 meV/atom
total magnetization = 0.00 μB per formula unit

a = 8.145 Å, b = 8.145 Å, c = 8.868 Å
α = 98.80°, β = 98.80°, γ = 120.00°
Positions (direct):
Ba 0.935 0.610 0.804
Ba 0.741 0.741 0.196
Ba 0.065 0.390 0.196
Ba 0.610 0.935 0.804
Ba 0.259 0.259 0.804
Ba 0.390 0.065 0.196
P 0.333 0.667 0.000
P 0.667 0.333 0.000
Ir 0.000 0.000 0.000
I 0.168 0.832 0.500
I 0.832 0.168 0.500
I 0.500 0.500 0.500